No. 1
Density functional theory data (SCAN) for a crystal of BaHfAsBr2 relaxed with PBEsol.

Calculated values
Fermi-level density of states: 1.9 states/eV/cell
Uncorrected formation energy: 0.2908 eV/atom
Calculated volume: 41.5 Å³/atom
Crystal system: tetragonal

a b c (Å): 5.8084 5.8084 6.1444
angles (deg): 90.00 90.00 90.00
Last column: nearest neighbours and their distance in Å.
Space group P4/mmm (No. 123)
Unique sites:
Ba 0.0000 0.0000 0.0000 x1  4 Br 2.90, 2 As 3.07
Hf 0.5000 0.5000 0.5000 x1  4 As 4.11, 8 Br 4.23
As 0.0000 0.0000 0.5000 x1  2 Ba 3.07
Br 0.0000 0.5000 0.0000 x2  2 Ba 2.90



No. 2
Density functional theory data (SCAN) for a crystal of KBaAsBr2 relaxed with PBEsol.

Calculated values
Fermi-level density of states: 3.3 states/eV/cell
Uncorrected formation energy: -1.1362 eV/atom
Calculated volume: 48.9 Å³/atom
Crystal system: tetragonal

a b c (Å): 6.2097 6.2097 6.3467
angles (deg): 90.00 90.00 90.00
Last column: nearest neighbours and their distance in Å.
Space group P4/mmm (No. 123)
Unique sites:
K 0.0000 0.0000 0.0000 x1  4 As 4.39, 8 Br 4.44
Ba 0.5000 0.5000 0.5000 x1  4 Br 3.10, 2 As 3.17
As 0.5000 0.5000 0.0000 x1  2 Ba 3.17
Br 0.0000 0.5000 0.5000 x2  2 Ba 3.10



No. 3
Density functional theory data (SCAN) for a crystal of BaLaAs2Br relaxed with PBEsol.

Calculated values
Fermi-level density of states: 1.6 states/eV/cell
Uncorrected formation energy: -1.0986 eV/atom
Calculated volume: 35.3 Å³/atom
Crystal system: tetragonal

a b c (Å): 5.5498 5.5498 5.7272
angles (deg): 90.00 90.00 90.00
Last column: nearest neighbours and their distance in Å.
Space group P4/mmm (No. 123)
Unique sites:
Ba 0.0000 0.0000 0.0000 x1  4 Br 3.92, 8 As 3.99
La 0.5000 0.5000 0.5000 x1  4 As 2.77, 2 Br 2.86
As 0.0000 0.5000 0.5000 x2  2 La 2.77
Br 0.5000 0.5000 0.0000 x1  2 La 2.86



No. 4
Density functional theory data (SCAN) for a crystal of BaLaAsBr2 relaxed with PBEsol.

Calculated values
Fermi-level density of states: 3.1 states/eV/cell
Uncorrected formation energy: -0.8324 eV/atom
Calculated volume: 40.9 Å³/atom
Crystal system: tetragonal

a b c (Å): 5.7548 5.7548 6.1786
angles (deg): 90.00 90.00 90.00
Last column: nearest neighbours and their distance in Å.
Space group P4/mmm (No. 123)
Unique sites:
Ba 0.0000 0.0000 0.0000 x1  4 Br 2.88, 2 As 3.09
La 0.5000 0.5000 0.5000 x1  4 As 4.07, 8 Br 4.22
As 0.0000 0.0000 0.5000 x1  2 Ba 3.09
Br 0.0000 0.5000 0.0000 x2  2 Ba 2.88



No. 5
Density functional theory data (SCAN) for a crystal of BaLiAs2Br relaxed with PBEsol.

Calculated values
Fermi-level density of states: 4.6 states/eV/cell
Uncorrected formation energy: 0.1228 eV/atom
Calculated volume: 42.4 Å³/atom
Crystal system: tetragonal

a b c (Å): 5.8777 5.8777 6.1294
angles (deg): 90.00 90.00 90.00
Last column: nearest neighbours and their distance in Å.
Space group P4/mmm (No. 123)
Unique sites:
Ba 0.0000 0.0000 0.0000 x1  4 As 2.94, 2 Br 3.06
Li 0.5000 0.5000 0.5000 x1  4 Br 4.16, 8 As 4.25
As 0.0000 0.5000 0.0000 x2  2 Ba 2.94
Br 0.0000 0.0000 0.5000 x1  2 Ba 3.06



No. 6
Density functional theory data (SCAN) for a crystal of BaNbAsBr2 relaxed with PBEsol.

Calculated values
Fermi-level density of states: 3.9 states/eV/cell
Uncorrected formation energy: 0.3319 eV/atom
Calculated volume: 42.8 Å³/atom
Crystal system: tetragonal

a b c (Å): 5.9002 5.9002 6.1481
angles (deg): 90.00 90.00 90.00
Last column: nearest neighbours and their distance in Å.
Space group P4/mmm (No. 123)
Unique sites:
Ba 0.0000 0.0000 0.0000 x1  4 Br 2.95, 2 As 3.07
Nb 0.5000 0.5000 0.5000 x1  4 As 4.17, 8 Br 4.26
As 0.0000 0.0000 0.5000 x1  2 Ba 3.07
Br 0.0000 0.5000 0.0000 x2  2 Ba 2.95



No. 7
Density functional theory data (SCAN) for a crystal of BaAs2OsBr relaxed with PBEsol.

Calculated values
Fermi-level density of states: 6.9 states/eV/cell
Uncorrected formation energy: 1.8346 eV/atom
Calculated volume: 38.0 Å³/atom
Crystal system: tetragonal

a b c (Å): 5.7299 5.7299 5.7946
angles (deg): 90.00 90.00 90.00
Last column: nearest neighbours and their distance in Å.
Space group P4/mmm (No. 123)
Unique sites:
Ba 0.0000 0.0000 0.0000 x1  4 As 2.86, 2 Br 2.90
As 0.0000 0.5000 0.0000 x2  2 Ba 2.86
Os 0.5000 0.5000 0.5000 x1  4 Br 4.05, 8 As 4.07
Br 0.0000 0.0000 0.5000 x1  2 Ba 2.90



No. 8
Density functional theory data (SCAN) for a crystal of BaAsPBr2 relaxed with PBEsol.

Calculated values
Fermi-level density of states: 1.9 states/eV/cell
Uncorrected formation energy: 0.0645 eV/atom
Calculated volume: 51.8 Å³/atom
Crystal system: tetragonal

a b c (Å): 6.1872 6.1872 6.7596
angles (deg): 90.00 90.00 90.00
Last column: nearest neighbours and their distance in Å.
Space group P4/mmm (No. 123)
Unique sites:
Ba 0.0000 0.0000 0.0000 x1  4 Br 3.09, 2 As 3.38
As 0.0000 0.0000 0.5000 x1  2 Ba 3.38
P 0.5000 0.5000 0.5000 x1  4 As 4.38, 8 Br 4.58
Br 0.0000 0.5000 0.0000 x2  2 Ba 3.09



No. 9
Density functional theory data (SCAN) for a crystal of BaAsPdBr2 relaxed with PBEsol.

Calculated values
Fermi-level density of states: 8.3 states/eV/cell
Uncorrected formation energy: 0.0707 eV/atom
Calculated volume: 48.2 Å³/atom
Crystal system: tetragonal

a b c (Å): 6.1086 6.1086 6.4652
angles (deg): 90.00 90.00 90.00
Last column: nearest neighbours and their distance in Å.
Space group P4/mmm (No. 123)
Unique sites:
Ba 0.0000 0.0000 0.0000 x1  4 Br 3.05, 2 As 3.23
As 0.0000 0.0000 0.5000 x1  2 Ba 3.23
Pd 0.5000 0.5000 0.5000 x1  4 As 4.32, 8 Br 4.45
Br 0.0000 0.5000 0.0000 x2  2 Ba 3.05



No. 10
Density functional theory data (SCAN) for a crystal of BaAs2PtBr relaxed with PBEsol.

Calculated values
Fermi-level density of states: 5.3 states/eV/cell
Uncorrected formation energy: 1.3790 eV/atom
Calculated volume: 38.0 Å³/atom
Crystal system: tetragonal

a b c (Å): 5.7558 5.7558 5.7316
angles (deg): 90.00 90.00 90.00
Last column: nearest neighbours and their distance in Å.
Space group P4/mmm (No. 123)
Unique sites:
Ba 0.0000 0.0000 0.0000 x1  2 Br 2.87, 4 As 2.88
As 0.0000 0.5000 0.0000 x2  2 Ba 2.88
Pt 0.5000 0.5000 0.5000 x1  8 As 4.06, 4 Br 4.07
Br 0.0000 0.0000 0.5000 x1  2 Ba 2.87



No. 11
Density functional theory data (SCAN) for a crystal of BaSnAs2Br relaxed with PBEsol.

Calculated values
Fermi-level density of states: 1.6 states/eV/cell
Uncorrected formation energy: -0.5137 eV/atom
Calculated volume: 30.9 Å³/atom
Crystal system: tetragonal

a b c (Å): 5.1884 5.1884 5.7477
angles (deg): 90.00 90.00 90.00
Last column: nearest neighbours and their distance in Å.
Space group P4/mmm (No. 123)
Unique sites:
Ba 0.0000 0.0000 0.0000 x1  4 Br 3.67, 8 As 3.87
Sn 0.5000 0.5000 0.5000 x1  4 As 2.59, 2 Br 2.87
As 0.0000 0.5000 0.5000 x2  2 Sn 2.59
Br 0.5000 0.5000 0.0000 x1  2 Sn 2.87



No. 12
Density functional theory data (SCAN) for a crystal of BaTcAs2Br relaxed with PBEsol.

Calculated values
Fermi-level density of states: 3.1 states/eV/cell
Uncorrected formation energy: 1.2291 eV/atom
Calculated volume: 38.1 Å³/atom
Crystal system: tetragonal

a b c (Å): 5.7154 5.7154 5.8254
angles (deg): 90.00 90.00 90.00
Last column: nearest neighbours and their distance in Å.
Space group P4/mmm (No. 123)
Unique sites:
Ba 0.0000 0.0000 0.0000 x1  4 As 2.86, 2 Br 2.91
Tc 0.5000 0.5000 0.5000 x1  4 Br 4.04, 8 As 4.08
As 0.0000 0.5000 0.0000 x2  2 Ba 2.86
Br 0.0000 0.0000 0.5000 x1  2 Ba 2.91



No. 13
Density functional theory data (SCAN) for a crystal of BaTlAsBr2 relaxed with PBEsol.

Calculated values
Fermi-level density of states: 3.7 states/eV/cell
Uncorrected formation energy: -0.8167 eV/atom
Calculated volume: 34.1 Å³/atom
Crystal system: tetragonal

a b c (Å): 5.6765 5.6765 5.2955
angles (deg): 90.00 90.00 90.00
Last column: nearest neighbours and their distance in Å.
Space group P4/mmm (No. 123)
Unique sites:
Ba 0.0000 0.0000 0.0000 x1  8 Br 3.88, 4 As 4.01
Tl 0.5000 0.5000 0.5000 x1  2 As 2.65, 4 Br 2.84
As 0.5000 0.5000 0.0000 x1  2 Tl 2.65
Br 0.0000 0.5000 0.5000 x2  2 Tl 2.84



No. 14
Density functional theory data (SCAN) for a crystal of BaAsCO2 relaxed with PBEsol.

Calculated values
Fermi-level density of states: 2.7 states/eV/cell
Uncorrected formation energy: 1.2138 eV/atom
Calculated volume: 16.0 Å³/atom
Crystal system: tetragonal

a b c (Å): 4.1420 4.1420 4.6632
angles (deg): 90.00 90.00 90.00
Last column: nearest neighbours and their distance in Å.
Space group P4/mmm (No. 123)
Unique sites:
Ba 0.0000 0.0000 0.0000 x1  2 C 2.33
As 0.5000 0.5000 0.0000 x1  4 Ba 2.93, 8 O 3.12
C 0.0000 0.0000 0.5000 x1  4 O 2.07
O 0.0000 0.5000 0.5000 x2  2 C 2.07



No. 15
Density functional theory data (SCAN) for a crystal of BaAs2CSe relaxed with PBEsol.

Calculated values
Fermi-level density of states: 7.5 states/eV/cell
Uncorrected formation energy: 2.2147 eV/atom
Calculated volume: 49.7 Å³/atom
Crystal system: tetragonal

a b c (Å): 6.3852 6.3852 6.0991
angles (deg): 90.00 90.00 90.00
Last column: nearest neighbours and their distance in Å.
Space group P4/mmm (No. 123)
Unique sites:
Ba 0.0000 0.0000 0.0000 x1  2 Se 3.05, 4 As 3.19
As 0.0000 0.5000 0.0000 x2  2 Ba 3.19
C 0.5000 0.5000 0.5000 x1  8 As 4.42, 4 Se 4.52
Se 0.0000 0.0000 0.5000 x1  2 Ba 3.05



No. 16
Density functional theory data (SCAN) for a crystal of BaCaAs4 relaxed with PBEsol.

Calculated values
Fermi-level density of states: 10.6 states/eV/cell
Energy relative to the elements: -3.277 eV/f.u.
Calculated volume: 23.3 Å³/atom
Crystal system: cubic

a b c (Å): 8.2396 8.2396 8.2396
angles (deg): 90.00 90.00 90.00
Last column: nearest neighbours and their distance in Å.
Space group F-43m (No. 216)
Unique sites:
Ba 0.0000 0.0000 0.0000 x4  12 As 3.42, 4 Ca 3.57
Ca 0.2500 0.2500 0.7500 x4  12 As 3.41, 4 Ba 3.57
As 0.1225 0.1225 0.3775 x16  6 As 2.86-2.97



No. 17
Density functional theory data (SCAN) for a crystal of BaCaAs2 relaxed with PBEsol.

Calculated values
Fermi-level density of states: 1.7 states/eV/cell
Energy relative to the elements: -4.178 eV/f.u.
Calculated volume: 26.2 Å³/atom
Crystal system: tetragonal

a b c (Å): 3.9479 3.9479 6.7282
angles (deg): 90.00 90.00 90.00
Last column: nearest neighbours and their distance in Å.
Space group P4/mmm (No. 123)
Unique sites:
Ba 0.0000 0.0000 0.0000 x1  2 Ca 3.36, 8 As 3.46
Ca 0.0000 0.0000 0.5000 x1  8 As 3.08, 2 Ba 3.36
As 0.5000 0.5000 0.3048 x2  1 As 2.63



No. 18
Density functional theory data (SCAN) for a crystal of Ba2CaMnAs relaxed with PBEsol.

Calculated values
Fermi-level density of states: 3.4 states/eV/cell
Energy relative to the elements: 3.596 eV/f.u.
Calculated volume: 34.9 Å³/atom
Crystal system: tetragonal

a b c (Å): 6.0932 6.0932 4.7051
angles (deg): 90.00 90.00 90.00
Last column: nearest neighbours and their distance in Å.
Space group P4/mmm (No. 123)
Unique sites:
Ba 0.0000 0.5000 0.0000 x2  2 Ca 3.05
Ca 0.0000 0.0000 0.0000 x1  2 Mn 2.35
Mn 0.0000 0.0000 0.5000 x1  2 Ca 2.35
As 0.5000 0.5000 0.5000 x1  8 Ba 3.85, 4 Mn 4.31



No. 19
Density functional theory data (SCAN) for a crystal of BaCaAs2Se relaxed with PBEsol.

Calculated values
Fermi-level density of states: 4.9 states/eV/cell
Uncorrected formation energy: -0.5661 eV/atom
Calculated volume: 30.3 Å³/atom
Crystal system: tetragonal

a b c (Å): 5.3115 5.3115 5.3723
angles (deg): 90.00 90.00 90.00
Last column: nearest neighbours and their distance in Å.
Space group P4/mmm (No. 123)
Unique sites:
Ba 0.0000 0.0000 0.0000 x1  4 Se 3.76, 8 As 3.78
Ca 0.5000 0.5000 0.5000 x1  4 As 2.66, 2 Se 2.69
As 0.0000 0.5000 0.5000 x2  2 Ca 2.66
Se 0.5000 0.5000 0.0000 x1  2 Ca 2.69



No. 20
Density functional theory data (SCAN) for a crystal of BaCaZnAs2 relaxed with PBEsol.

Calculated values
Fermi-level density of states: 3.2 states/eV/cell
Energy relative to the elements: -0.140 eV/f.u.
Calculated volume: 27.6 Å³/atom
Crystal system: tetragonal

a b c (Å): 5.0993 5.0993 5.3159
angles (deg): 90.00 90.00 90.00
Last column: nearest neighbours and their distance in Å.
Space group P4/mmm (No. 123)
Unique sites:
Ba 0.0000 0.0000 0.0000 x1  2 Zn 2.66
Ca 0.5000 0.5000 0.0000 x1  4 Ba 3.61, 8 As 3.68
Zn 0.0000 0.0000 0.5000 x1  4 As 2.55, 2 Ba 2.66
As 0.0000 0.5000 0.5000 x2  2 Zn 2.55